<P>
Density functional theory data (SCAN) for a PBEsol-optimized structure of K2LaRe.

Summary:
SG: P4/mmm (123)

a = 4.8438 Å, b = 4.8438 Å, c = 5.6707 Å
α = 90.00°, β = 90.00°, γ = 90.00°
With the nearest neighbours (Å) after each atom.
Fractional coordinates of all 4 atoms:
Re: 0.5000 0.5000 0.5000  2 La 2.84
K: 0.0000 0.0000 0.7364  2 K 2.68-2.99
K: 0.0000 0.0000 0.2636  2 K 2.68-2.99
La: 0.5000 0.5000 0.0000  2 Re 2.84

<Q>
Density functional theory data (SCAN) for a PBEsol-optimized structure of K2LaRe.

Summary:
SG: C2/m (12)

a = 3.4145 Å, b = 5.0355 Å, c = 7.1599 Å
α = 108.91°, β = 101.42°, γ = 96.62°
With the nearest neighbours (Å) after each atom.
Fractional coordinates of all 4 atoms:
K: 0.5000 0.5000 0.5000  4 K 2.87-3.20
K: 0.0000 0.0000 0.5000  4 K 2.87-3.20
La: 0.5000 0.0000 0.0000  4 Re 2.87-3.20
Re: 0.0000 0.5000 0.0000  4 La 2.87-3.20

<R>
Density functional theory data (SCAN) for a PBEsol-optimized structure of K2LaRe.

Summary:
SG: Pmmm (47)

a = 2.9367 Å, b = 5.8097 Å, c = 6.2871 Å
α = 90.00°, β = 90.00°, γ = 90.00°
With the nearest neighbours (Å) after each atom.
Fractional coordinates of all 4 atoms:
Re: 0.5000 0.0000 0.5000  2 La 2.90, 2 Re 2.94
K: 0.0000 0.2349 0.0000  3 K 2.73-2.94
K: 0.0000 0.7651 0.0000  3 K 2.73-2.94
La: 0.5000 0.5000 0.5000  2 Re 2.90, 2 La 2.94

It is <P> that is the least stable of them.

<P>
Density functional theory data (SCAN) for a PBEsol-optimized structure of KLaRh3.

Summary:
SG: Pm-3m (221)

a = 4.6985 Å, b = 4.6985 Å, c = 4.6985 Å
α = 90.00°, β = 90.00°, γ = 90.00°
With the nearest neighbours (Å) after each atom.
Fractional coordinates of all 5 atoms:
Rh: 0.0000 0.0000 0.5000  2 K 2.35
Rh: 0.0000 0.5000 0.0000  2 K 2.35
K: 0.0000 0.0000 0.0000  6 Rh 2.35
La: 0.5000 0.5000 0.5000  12 Rh 3.32
Rh: 0.5000 0.0000 0.0000  2 K 2.35

<Q>
Density functional theory data (SCAN) for a PBEsol-optimized structure of KLaRh3.

Summary:
SG: Pm-3m (221)

a = 4.9309 Å, b = 4.9309 Å, c = 4.9309 Å
α = 90.00°, β = 90.00°, γ = 90.00°
With the nearest neighbours (Å) after each atom.
Fractional coordinates of all 5 atoms:
Rh: 0.0000 0.5000 0.0000  2 La 2.47
Rh: 0.0000 0.0000 0.5000  2 La 2.47
La: 0.0000 0.0000 0.0000  6 Rh 2.47
K: 0.5000 0.5000 0.5000  12 Rh 3.49
Rh: 0.5000 0.0000 0.0000  2 La 2.47

It is <P> that is the least stable of them.

<P>
Density functional theory data (SCAN) for a PBEsol-optimized structure of KLa2Ru.

Summary:
SG: I-4m2 (119)

a = 4.3250 Å, b = 4.3250 Å, c = 6.2098 Å
α = 110.38°, β = 110.38°, γ = 90.00°
With the nearest neighbours (Å) after each atom.
Fractional coordinates of all 4 atoms:
La: 0.0000 0.0000 0.0000  4 Ru 3.06
Ru: 0.5000 0.5000 0.0000  4 La 3.06
K: 0.2500 0.7500 0.5000  4 La 3.06
La: 0.7500 0.2500 0.5000  4 K 3.06

<Q>
Density functional theory data (SCAN) for a PBEsol-optimized structure of KLa2Ru.

Summary:
SG: C2/m (12)

a = 4.1277 Å, b = 4.1263 Å, c = 10.6398 Å
α = 101.26°, β = 90.00°, γ = 120.01°
With the nearest neighbours (Å) after each atom.
Fractional coordinates of all 4 atoms:
Ru: 0.0000 0.0000 0.5000  6 La 2.80
K: 0.5000 0.0000 0.0000  6 K 4.13, 6 La 4.41-4.42
La: 0.2858 0.5717 0.3585  3 Ru 2.80
La: 0.7142 0.4283 0.6415  3 Ru 2.80

It is <P> that is the least stable of them.